Crystalline SrMgNiO3 at its relaxed geometry. Source: Alexandria, functional PBE with a Hubbard U.

Output
- D(E_F) (states/eV per atom) = 0.0000
- space-group type = Cmcm, No. 63
- uncorrected energy (eV/atom) = -5.471

Cell lengths 5.8756, 5.8756, 5.4821 Å; angles 90.00, 90.00, 124.43 degrees
Sites, in units of the cell vectors:
1 Sr 0.2445 0.7555 0.7500
2 Sr 0.7555 0.2445 0.2500
3 Mg 0.4413 0.5587 0.2500
4 Mg 0.5587 0.4413 0.7500
5 Ni 0.0572 0.9428 0.2500
6 Ni 0.9428 0.0572 0.7500
7 O 0.2513 0.7487 0.2500
8 O 0.2520 0.2520 0.0000
9 O 0.2520 0.2520 0.5000
10 O 0.7480 0.7480 0.0000
11 O 0.7480 0.7480 0.5000
12 O 0.7487 0.2513 0.7500